DFT (GGA-PBE) results for crystalline CeY3Er2Se6 at its relaxed geometry.

The structure belongs to space group C2/m (No. 12); the cell edges are 17.824, 4.070 and 8.227 Å and the angles 90.00°, 103.18° and 90.00°. The inequivalent atoms are Ce at (0.000, 0.000, 0.000), Y at (0.000, 0.000, 0.500), Y at (0.163, 0.500, 0.834), Er at (0.164, 0.500, 0.328), Se at (0.002, 0.500, 0.259), Se at (0.169, 0.000, 0.580) and Se at (0.171, 0.000, 0.089).

As for the total energy: -6.37 eV per atom. The uncorrected formation energy comes out at -21.05 eV per formula unit. The value obtained for the size of the total moment is 1.115 μB/f.u.

DFT (GGA-PBE) results for crystalline CeY3Er4Se8 at its relaxed geometry.

The structure belongs to space group R-3m (No. 166, hexagonal axes); the cell edges are 8.1441, 8.1441 and 20.0122 Å and the angles 90.00°, 90.00° and 120.00°. The inequivalent atoms are Ce at (0.0000, 0.0000, 0.0000), Y at (0.0000, 0.5000, 0.0000), Er at (0.0000, 0.0000, 0.5000), Er at (0.0000, 0.5000, 0.5000), Se at (0.0000, 0.0000, 0.2483) and Se at (0.0037, 0.5019, 0.2474).

As for the total energy: -6.20 eV per atom. The uncorrected formation energy comes out at -27.81 eV per formula unit. The value obtained for the size of the total moment is 0.760 μB/f.u.

DFT (GGA-PBE) results for crystalline Ce3YEr2Se6 at its relaxed geometry.

The structure belongs to space group C2/m (No. 12); the cell edges are 7.082, 12.279 and 7.263 Å and the angles 90.00°, 109.00° and 90.00°. The inequivalent atoms are Ce at (0.000, 0.000, 0.000), Ce at (0.000, 0.335, 0.000), Y at (0.000, 0.500, 0.500), Er at (0.000, 0.167, 0.500), Se at (0.242, 0.000, 0.735) and Se at (0.247, 0.332, 0.736).

As for the total energy: -6.31 eV per atom. The uncorrected formation energy comes out at -21.42 eV per formula unit. The value obtained for the size of the total moment is 3.016 μB/f.u.

DFT (GGA-PBE) results for crystalline Ce2Y3ErSe6 at its relaxed geometry.

The structure belongs to space group C2/m (No. 12); the cell edges are 7.107, 12.333 and 7.162 Å and the angles 90.00°, 109.42° and 90.00°. The inequivalent atoms are Ce at (0.000, 0.166, 0.000), Y at (0.000, 0.000, 0.500), Y at (0.000, 0.331, 0.500), Er at (0.000, 0.500, 0.000), Se at (0.240, 0.500, 0.743) and Se at (0.247, 0.337, 0.255).

As for the total energy: -6.51 eV per atom. The uncorrected formation energy comes out at -21.34 eV per formula unit. The value obtained for the size of the total moment is 1.887 μB/f.u.

DFT (GGA-PBE) results for crystalline CeY2ErSe6 at its relaxed geometry.

The structure belongs to space group R3 (No. 146, hexagonal axes); the cell edges are 7.2755, 7.2755 and 19.5308 Å and the angles 90.00°, 90.00° and 120.00°. The inequivalent atoms are Ce at (0.0000, 0.0000, 0.0000), Y at (0.0000, 0.0000, 0.2982), Y at (0.0000, 0.0000, 0.8017), Er at (0.0000, 0.0000, 0.4952), Se at (0.0167, 0.7112, 0.3978) and Se at (0.0253, 0.3571, 0.5634).

As for the total energy: -6.26 eV per atom. The uncorrected formation energy comes out at -18.25 eV per formula unit. The value obtained for the size of the total moment is 1.007 μB/f.u.

DFT (GGA-PBE) results for crystalline CeErSi at its relaxed geometry.

The structure belongs to space group F-43m (No. 216); the cell edges are 6.865, 6.865 and 6.865 Å and the angles 90.00°, 90.00° and 90.00°. The inequivalent atoms are Ce at (0.000, 0.000, 0.000), Er at (0.000, 0.000, 0.500) and Si at (0.250, 0.250, 0.250).

As for the total energy: -5.65 eV per atom. The uncorrected formation energy comes out at -1.04 eV per formula unit. The value obtained for the size of the total moment is 0.715 μB/f.u. The calculation puts the relative energy among the computed polymorphs at 0.2397 eV per atom.

DFT (GGA-PBE) results for crystalline CeErSi at its relaxed geometry.

The structure belongs to space group P3m1 (No. 156); the cell edges are 4.6788, 4.6788 and 4.0628 Å and the angles 90.00°, 90.00° and 120.00°. The inequivalent atoms are Ce at (0.0000, 0.0000, 0.0000), Er at (0.6667, 0.3333, 0.4628) and Si at (0.3333, 0.6667, 0.6311).

As for the total energy: -5.54 eV per atom. The uncorrected formation energy comes out at -0.70 eV per formula unit. The value obtained for the size of the total moment is 1.093 μB/f.u. The calculation puts the relative energy among the computed polymorphs at 0.3531 eV per atom.

DFT (GGA-PBE) results for crystalline Ce2ErSi at its relaxed geometry.

The structure belongs to space group P4/mmm (No. 123); the cell edges are 3.865, 3.865 and 7.014 Å and the angles 90.00°, 90.00° and 90.00°. The inequivalent atoms are Ce at (0.000, 0.000, 0.192), Er at (0.500, 0.500, 0.500) and Si at (0.500, 0.500, 0.000).

As for the total energy: -5.73 eV per atom. The uncorrected formation energy comes out at -1.09 eV per formula unit. The value obtained for the size of the total moment is 0.010 μB/f.u. The calculation puts the relative energy among the computed polymorphs at 0.0417 eV per atom.

DFT (GGA-PBE) results for crystalline Ce2Er2Si3 at its relaxed geometry.

The structure belongs to space group C2/m (No. 12); the cell edges are 13.275, 4.249 and 6.928 Å and the angles 90.00°, 99.90° and 90.00°. The inequivalent atoms are Ce at (0.122, 0.000, 0.361), Er at (0.130, 0.500, 0.872), Si at (0.000, 0.500, 0.500) and Si at (0.248, 0.000, 0.748).

As for the total energy: -5.72 eV per atom. The uncorrected formation energy comes out at -2.75 eV per formula unit. The value obtained for the size of the total moment is 0.956 μB/f.u.

DFT (GGA-PBE) results for crystalline Ce2ErSi at its relaxed geometry.

The structure belongs to space group P4/mmm (No. 123); the cell edges are 4.348, 4.348 and 4.970 Å and the angles 90.00°, 90.00° and 90.00°. The inequivalent atoms are Ce at (0.000, 0.500, 0.000), Er at (0.000, 0.000, 0.500) and Si at (0.500, 0.500, 0.500).

As for the total energy: -5.78 eV per atom. The uncorrected formation energy comes out at -1.25 eV per formula unit. The value obtained for the size of the total moment is 0.037 μB/f.u. The calculation puts the relative energy among the computed polymorphs at 0.0000 eV per atom.

DFT (GGA-PBE) results for crystalline Ce2ErSi at its relaxed geometry.

The structure belongs to space group R-3m (No. 166, hexagonal axes); the cell edges are 3.2219, 3.2219 and 33.4959 Å and the angles 90.00°, 90.00° and 120.00°. The inequivalent atoms are Ce at (0.0000, 0.0000, 0.0952), Er at (0.0000, 0.0000, 0.0000) and Si at (0.0000, 0.0000, 0.5000).

As for the total energy: -5.36 eV per atom. The uncorrected formation energy comes out at 0.40 eV per formula unit. The value obtained for the size of the total moment is 0.000 μB/f.u. The calculation puts the relative energy among the computed polymorphs at 0.4141 eV per atom.

DFT (GGA-PBE) results for crystalline CeErSi at its relaxed geometry.

The structure belongs to space group C2/m (No. 12); the cell edges are 15.080, 4.525 and 4.197 Å and the angles 90.00°, 92.55° and 90.00°. The inequivalent atoms are Ce at (0.192, 0.000, 0.057), Er at (0.000, 0.000, 0.500), Er at (0.000, 0.500, 0.000) and Si at (0.138, 0.500, 0.516).

As for the total energy: -5.74 eV per atom. The uncorrected formation energy comes out at -1.31 eV per formula unit. The value obtained for the size of the total moment is 0.791 μB/f.u. The calculation puts the relative energy among the computed polymorphs at 0.1477 eV per atom.

Question: Which of these has the highest uncorrected formation energy?
Answer: number 11